First-principles (PBE with a Hubbard U) data for a relaxed structure of Na3Dy3CoO8, as listed in the Alexandria database.

Lattice parameters (Å, degrees): 6.630 6.630 6.724 119.53 90.02 120.00
Sites, in units of the cell vectors:
O  0.789  0.578  0.306
O  0.211  0.422  0.694
O  0.263  0.525  0.288
O  0.211  0.983  0.694
O  0.772  0.983  0.694
O  0.737  0.475  0.712
O  0.228  0.017  0.306
O  0.789  0.017  0.306
Na  0.000  0.500  0.000
Na  0.000  0.000  0.000
Na  0.500  0.500  0.000
Dy  0.000  0.500  0.500
Dy  0.500  0.500  0.500
Dy  0.500  0.000  0.500
Co  0.000  0.000  0.500

Properties
VASP energy (eV per atom): -6.5085